Nd3Sm2Ho6 | GGA-PBE | relaxed

Properties
For the formation energy, the calculation gives 2.9 eV/f.u. The energy above the most stable polymorph in this dataset comes out at 70 meV per atom.

a = 4.769 Å, b = 4.769 Å, c = 16.944 Å
α = 98.09°, β = 98.09°, γ = 90.00°
Sites, in units of the cell vectors:
Nd: 0.204 0.204 0.408
Ho: 0.379 0.879 0.759
Nd: 0.000 0.000 0.000
Ho: 0.879 0.379 0.759
Ho: 0.308 0.308 0.615
Ho: 0.121 0.621 0.241
Sm: 0.454 0.454 0.908
Ho: 0.692 0.692 0.385
Ho: 0.621 0.121 0.241
Sm: 0.546 0.546 0.092
Nd: 0.796 0.796 0.592


NdSm5Ho6 | GGA-PBE | relaxed

Properties
For the formation energy, the calculation gives 1.3 eV/f.u.

a = 10.175 Å, b = 10.175 Å, c = 5.847 Å
α = 106.70°, β = 106.70°, γ = 124.47°
Sites, in units of the cell vectors:
Ho: 0.930 0.570 0.750
Sm: 0.500 0.500 0.500
Sm: 0.653 0.347 0.000
Ho: 0.750 0.750 0.250
Sm: 0.347 0.653 0.000
Sm: 0.846 0.154 0.500
Ho: 0.430 0.070 0.250
Ho: 0.070 0.430 0.250
Nd: 0.000 0.000 0.000
Sm: 0.154 0.846 0.500
Ho: 0.570 0.930 0.750
Ho: 0.250 0.250 0.750


Nd2SmHo4 | GGA-PBE | relaxed

Properties
For the formation energy, the calculation gives 1.4 eV/f.u. The energy above the most stable polymorph in this dataset comes out at 0 meV per atom.

a = 9.321 Å, b = 7.924 Å, c = 6.537 Å
α = 120.43°, β = 135.23°, γ = 90.41°
Sites, in units of the cell vectors:
Ho: 0.686 0.283 0.993
Ho: 0.685 0.714 0.999
Ho: 0.314 0.717 0.007
Sm: 0.000 0.000 0.000
Nd: 0.781 0.228 0.555
Nd: 0.219 0.772 0.445
Ho: 0.314 0.286 0.001


Nd2Sm4Ho5 | GGA-PBE | relaxed

Properties
For the formation energy, the calculation gives 2.3 eV/f.u. The energy above the most stable polymorph in this dataset comes out at 63 meV per atom.

a = 3.531 Å, b = 11.561 Å, c = 10.997 Å
α = 121.71°, β = 99.24°, γ = 90.00°
Sites, in units of the cell vectors:
Sm: 0.000 0.734 0.000
Sm: 0.000 0.266 0.000
Sm: 0.409 0.409 0.819
Nd: 0.798 0.798 0.596
Ho: 0.180 0.471 0.360
Ho: 0.180 0.888 0.360
Nd: 0.202 0.202 0.404
Ho: 0.820 0.529 0.640
Sm: 0.591 0.591 0.181
Ho: 0.500 0.000 0.000
Ho: 0.820 0.112 0.640


Repeat the fourth record exactly.
Nd2Sm4Ho5 | GGA-PBE | relaxed

Properties
For the formation energy, the calculation gives 2.3 eV/f.u. The energy above the most stable polymorph in this dataset comes out at 63 meV per atom.

a = 3.531 Å, b = 11.561 Å, c = 10.997 Å
α = 121.71°, β = 99.24°, γ = 90.00°
Sites, in units of the cell vectors:
Sm: 0.000 0.734 0.000
Sm: 0.000 0.266 0.000
Sm: 0.409 0.409 0.819
Nd: 0.798 0.798 0.596
Ho: 0.180 0.471 0.360
Ho: 0.180 0.888 0.360
Nd: 0.202 0.202 0.404
Ho: 0.820 0.529 0.640
Sm: 0.591 0.591 0.181
Ho: 0.500 0.000 0.000
Ho: 0.820 0.112 0.640


Question: The lowest formation energy belongs to which entry?
Answer: NdSm5Ho6


Question: What is the formula in the fourth record?
Answer: Nd2Sm4Ho5


Question: Which value of formation energy does entry 3 give?
Answer: 1.4 eV/f.u.